1.
The following is a PBE calculation of Ba2Tl6Cd after structural relaxation, from Alexandria via LeMat-Bulk.

Cell lengths 7.230, 7.176, 7.019 Å; angles 75.19, 90.00, 120.25 degrees
Sites, in units of the cell vectors:
Ba (0.648, 0.295, 0.165)
Ba (0.352, 0.705, 0.835)
Tl (0.855, 0.261, 0.676)
Tl (0.876, 0.751, 0.675)
Tl (0.406, 0.261, 0.676)
Tl (0.145, 0.739, 0.324)
Tl (0.124, 0.249, 0.325)
Tl (0.594, 0.739, 0.324)
Cd (0.000, 0.000, 0.000)

Output
V (Å³ per cell): 300
Electronic total energy (eV/f.u.): -21.2


2.
The following is a PBE calculation of BaTl2Cd2 after structural relaxation, from Alexandria via LeMat-Bulk.

Cell lengths 5.067, 5.067, 7.145 Å; angles 69.23, 69.23, 90.00 degrees
Sites, in units of the cell vectors:
Tl (0.750, 0.250, 0.500)
Tl (0.250, 0.750, 0.500)
Ba (0.000, 0.000, 0.000)
Cd (0.386, 0.386, 0.227)
Cd (0.614, 0.614, 0.773)

Output
V (Å³ per cell): 159
Electronic total energy (eV/f.u.): -9.8


3.
The following is a PBE calculation of Ba2Tl5Cd4 after structural relaxation, from Alexandria via LeMat-Bulk.

Cell lengths 6.647, 7.962, 7.961 Å; angles 78.65, 65.32, 65.33 degrees
Sites, in units of the cell vectors:
Ba (0.283, 0.717, 0.717)
Ba (0.717, 0.283, 0.283)
Tl (0.244, 0.193, 0.807)
Tl (0.756, 0.807, 0.193)
Tl (0.000, 0.500, 0.500)
Tl (0.756, 0.193, 0.807)
Tl (0.244, 0.807, 0.193)
Cd (0.252, 0.095, 0.402)
Cd (0.748, 0.905, 0.598)
Cd (0.748, 0.598, 0.906)
Cd (0.252, 0.402, 0.094)

Output
V (Å³ per cell): 348
Offset from the most stable computed form (meV/atom): 0
Electronic total energy (eV/f.u.): -21.2


4.
The following is a PBE calculation of BaTlCd2 after structural relaxation, from Alexandria via LeMat-Bulk.

Cell lengths 3.923, 3.923, 8.045 Å; angles 90.00, 90.00, 89.98 degrees
Sites, in units of the cell vectors:
Tl (0.000, 0.000, 0.456)
Ba (0.500, 0.500, 0.755)
Cd (0.000, 0.000, 0.051)
Cd (0.500, 0.500, 0.238)

Output
V (Å³ per cell): 124
Offset from the most stable computed form (meV/atom): 55
Electronic total energy (eV/f.u.): -6.9


5.
The following is a PBE calculation of Ba2TlCd after structural relaxation, from Alexandria via LeMat-Bulk.

Cell lengths 4.417, 4.417, 8.772 Å; angles 90.00, 90.00, 89.96 degrees
Sites, in units of the cell vectors:
Tl (0.500, 0.500, 0.722)
Ba (0.000, 0.000, 0.932)
Ba (0.500, 0.500, 0.322)
Cd (0.000, 0.000, 0.524)

Output
V (Å³ per cell): 171
Offset from the most stable computed form (meV/atom): 174
Electronic total energy (eV/f.u.): -7.9


6.
The following is a PBE calculation of BaTlCd6 after structural relaxation, from Alexandria via LeMat-Bulk.

Cell lengths 4.880, 4.880, 9.706 Å; angles 90.00, 90.00, 90.00 degrees
Sites, in units of the cell vectors:
Ba (0.000, 0.000, 0.000)
Tl (0.000, 0.000, 0.500)
Cd (0.500, 0.000, 0.685)
Cd (0.000, 0.500, 0.685)
Cd (0.500, 0.500, 0.146)
Cd (0.500, 0.500, 0.854)
Cd (0.000, 0.500, 0.315)
Cd (0.500, 0.000, 0.315)

Output
V (Å³ per cell): 231
Electronic total energy (eV/f.u.): -10.8


7.
The following is a PBE calculation of Ba3Tl3Cd after structural relaxation, from Alexandria via LeMat-Bulk.

Cell lengths 5.072, 6.954, 16.860 Å; angles 85.47, 81.35, 68.61 degrees
Sites, in units of the cell vectors:
Ba (0.537, 0.315, 0.611)
Ba (0.463, 0.685, 0.389)
Ba (0.256, 0.255, 0.233)
Ba (0.744, 0.745, 0.767)
Ba (0.396, 0.286, 0.921)
Ba (0.604, 0.714, 0.079)
Tl (0.863, 0.732, 0.543)
Tl (0.137, 0.268, 0.457)
Tl (0.112, 0.855, 0.922)
Tl (0.888, 0.145, 0.078)
Tl (0.969, 0.828, 0.235)
Tl (0.031, 0.172, 0.765)
Cd (0.759, 0.087, 0.395)
Cd (0.241, 0.913, 0.605)

Output
V (Å³ per cell): 547
Electronic total energy (eV/f.u.): -16.3


8.
The following is a PBE calculation of Ba2TlCd after structural relaxation, from Alexandria via LeMat-Bulk.

Cell lengths 6.050, 4.279, 6.052 Å; angles 89.99, 90.00, 90.00 degrees
Sites, in units of the cell vectors:
Tl (0.500, 0.625, 0.874)
Ba (0.000, 0.125, 0.875)
Ba (0.500, 0.125, 0.375)
Cd (0.000, 0.625, 0.375)

Output
V (Å³ per cell): 157
Offset from the most stable computed form (meV/atom): 3
Electronic total energy (eV/f.u.): -8.6


9.
The following is a PBE calculation of BaTlCd after structural relaxation, from Alexandria via LeMat-Bulk.

Cell lengths 5.331, 5.331, 4.209 Å; angles 90.00, 90.00, 120.00 degrees
Sites, in units of the cell vectors:
Tl (0.333, 0.667, 0.500)
Ba (0.000, 0.000, 0.000)
Cd (0.667, 0.333, 0.500)

Output
V (Å³ per cell): 104
Electronic total energy (eV/f.u.): -6.2


10.
The following is a PBE calculation of BaTlCd10 after structural relaxation, from Alexandria via LeMat-Bulk.

Cell lengths 4.937, 6.192, 10.486 Å; angles 90.00, 90.00, 90.00 degrees
Sites, in units of the cell vectors:
Ba (0.000, 0.000, 0.000)
Tl (0.000, 0.500, 0.500)
Cd (0.000, 0.000, 0.345)
Cd (0.000, 0.500, 0.814)
Cd (0.000, 0.500, 0.186)
Cd (0.000, 0.000, 0.655)
Cd (0.500, 0.000, 0.500)
Cd (0.500, 0.500, 0.000)
Cd (0.500, 0.243, 0.244)
Cd (0.500, 0.757, 0.756)
Cd (0.500, 0.757, 0.244)
Cd (0.500, 0.243, 0.756)

Output
V (Å³ per cell): 321
Electronic total energy (eV/f.u.): -14.6


11.
The following is a PBE calculation of Ba8TlCd2 after structural relaxation, from Alexandria via LeMat-Bulk.

Cell lengths 6.120, 8.567, 11.124 Å; angles 108.22, 105.97, 90.00 degrees
Sites, in units of the cell vectors:
Ba (0.406, 0.555, 0.811)
Ba (0.668, 0.964, 0.337)
Ba (0.799, 0.689, 0.597)
Ba (0.968, 0.204, 0.936)
Ba (0.201, 0.311, 0.403)
Ba (0.332, 0.036, 0.663)
Ba (0.594, 0.445, 0.189)
Ba (0.032, 0.796, 0.064)
Tl (0.500, 0.000, 0.000)
Cd (0.817, 0.298, 0.633)
Cd (0.183, 0.702, 0.367)

Output
V (Å³ per cell): 530
Offset from the most stable computed form (meV/atom): 0
Electronic total energy (eV/f.u.): -21.6


12.
The following is a PBE calculation of BaTlCd after structural relaxation, from Alexandria via LeMat-Bulk.

Cell lengths 5.314, 6.799, 6.722 Å; angles 78.59, 66.72, 67.00 degrees
Sites, in units of the cell vectors:
Ba (0.961, 0.791, 0.287)
Ba (0.039, 0.209, 0.713)
Tl (0.667, 0.392, 0.274)
Tl (0.333, 0.608, 0.726)
Cd (0.339, 0.213, 0.109)
Cd (0.661, 0.787, 0.891)

Output
V (Å³ per cell): 205
Electronic total energy (eV/f.u.): -6.3


Number 1: formation energy from the elements -249 meV per atom. Number 2: formation energy from the elements -256 meV per atom. Number 3: formation energy from the elements -174 meV per atom. Number 4: formation energy from the elements -186 meV per atom. Number 5: formation energy from the elements -199 meV per atom. Number 6: formation energy from the elements -130 meV per atom. Number 7: formation energy from the elements -356 meV per atom. Number 8: formation energy from the elements -370 meV per atom. Number 9: formation energy from the elements -349 meV per atom. Number 10: formation energy from the elements -95 meV per atom. Number 11: formation energy from the elements -180 meV per atom. Number 12: formation energy from the elements -366 meV per atom.